1.
CaPmAs GGA-PBE relaxed; energy of formation = -239 kJ/mol of formula units; DOS at the Fermi energy = 0.5535 states/eV per atom; energy above the most stable polymorph in this dataset = 0.080 eV per atom; crystal system = trigonal; space-group type = P3m1, No. 156; uncorrected energy = -4.62 eV per atom
1.0
6.778 0.000 0.000
0.000 4.173 0.000
0.000 -2.087 3.614
Ca As Pm
1 1 1
Direct
0.750 0.667 0.333 Ca
0.008 0.000 0.000 As
0.241 0.333 0.667 Pm

***

2.
CaPmPr2As4 GGA-PBE relaxed; energy of formation = -1036 kJ/mol of formula units; DOS at the Fermi energy = 0.5849 states/eV per atom; crystal system = monoclinic; space-group type = P2/m, No. 10; uncorrected energy = -5.71 eV per atom
1.0
4.285 0.000 0.000
0.000 7.399 -0.134
0.000 2.615 6.953
Ca As Pm Pr
1 4 1 2
Direct
0.000 0.500 0.500 Ca
0.500 0.251 0.752 As
0.000 0.253 0.247 As
0.000 0.747 0.753 As
0.500 0.749 0.248 As
0.500 0.500 0.000 Pm
0.000 0.000 0.000 Pr
0.500 0.000 0.500 Pr